1.
The following is a DFT calculation (PBE) of a relaxed TaNbCo crystal.

```
TaNbCo
1.0
2.8657 0.0000 0.0000
0.0000 2.8657 0.0000
0.0000 0.0000 11.5204
Ta Nb Co
2 2 2
direct
0.0000 0.0000 0.0000
0.5000 0.5000 0.5000
0.0000 0.0000 0.7011
0.5000 0.5000 0.2011
0.0000 0.0000 0.3565
0.5000 0.5000 0.8565
```

N(E_F)	5.817	states/eV per cell
total magnetic moment	0.5	μB/f.u.
crystal system	tetragonal
formation energy from the elements	-0.041	eV per atom

2.
The following is a DFT calculation (PBE) of a relaxed TaNbCoTc2 crystal.

```
TaNbCoTc2
1.0
4.6155 0.0000 0.0000
0.0000 4.6155 0.0000
0.0000 0.0000 4.8543
Ta Nb Co Tc
1 1 1 2
direct
0.0000 0.0000 0.0000
0.0000 0.0000 0.5000
0.5000 0.5000 0.0000
0.0000 0.5000 0.5000
0.5000 0.0000 0.5000
```

N(E_F)	10.199	states/eV per cell
total magnetic moment	0.2	μB/f.u.
crystal system	tetragonal
formation energy from the elements	2.063	eV per atom

3.
The following is a DFT calculation (PBE) of a relaxed Ta2NbCoTe crystal.

```
Ta2NbCoTe
1.0
4.6388 0.0000 0.0000
0.0000 4.6388 0.0000
0.0000 0.0000 4.6773
Ta Nb Co Te
2 1 1 1
direct
0.0000 0.5000 0.0000
0.5000 0.0000 0.0000
0.0000 0.0000 0.5000
0.0000 0.0000 0.0000
0.5000 0.5000 0.5000
```

N(E_F)	7.248	states/eV per cell
total magnetic moment	0.0	μB/f.u.
crystal system	tetragonal
ΔE_f (raw)	652	meV per atom

4.
The following is a DFT calculation (PBE) of a relaxed TaTiNbCo crystal.

```
TaTiNbCo
1.0
6.2941 0.0000 0.0000
0.0000 6.2941 0.0000
0.0000 0.0000 6.2941
Ta Ti Nb Co
4 4 4 4
direct
0.0000 0.0000 0.0000
0.0000 0.5000 0.5000
0.5000 0.0000 0.5000
0.5000 0.5000 0.0000
0.0000 0.0000 0.5000
0.0000 0.5000 0.0000
0.5000 0.0000 0.0000
0.5000 0.5000 0.5000
0.2500 0.2500 0.7500
0.2500 0.7500 0.2500
0.7500 0.2500 0.2500
0.7500 0.7500 0.7500
0.2500 0.2500 0.2500
0.2500 0.7500 0.7500
0.7500 0.2500 0.7500
0.7500 0.7500 0.2500
```

N(E_F)	15.219	states/eV per cell
total magnetic moment	0.0	μB/f.u.
crystal system	cubic
formation energy from the elements	-0.078	eV per atom

5.
The following is a DFT calculation (PBE) of a relaxed TaNbVCo crystal.

```
TaNbVCo
1.0
6.2189 0.0000 0.0000
0.0000 6.2189 0.0000
0.0000 0.0000 6.2189
Ta Nb V Co
4 4 4 4
direct
0.0000 0.0000 0.0000
0.0000 0.5000 0.5000
0.5000 0.0000 0.5000
0.5000 0.5000 0.0000
0.0000 0.0000 0.5000
0.0000 0.5000 0.0000
0.5000 0.0000 0.0000
0.5000 0.5000 0.5000
0.2500 0.2500 0.7500
0.2500 0.7500 0.2500
0.7500 0.2500 0.2500
0.7500 0.7500 0.7500
0.2500 0.2500 0.2500
0.2500 0.7500 0.7500
0.7500 0.2500 0.7500
0.7500 0.7500 0.2500
```

N(E_F)	15.110	states/eV per cell
total magnetic moment	0.8	μB/f.u.
crystal system	cubic
formation energy from the elements	-0.038	eV per atom

6.
The following is a DFT calculation (PBE) of a relaxed Ta2NbCoW crystal.

```
Ta2NbCoW
1.0
4.8614 0.0000 0.0000
0.0000 4.8614 0.0000
0.0000 0.0000 4.2076
Ta Nb Co W
2 1 1 1
direct
0.0000 0.5000 0.0000
0.5000 0.0000 0.0000
0.0000 0.0000 0.0000
0.0000 0.0000 0.5000
0.5000 0.5000 0.5000
```

N(E_F)	4.955	states/eV per cell
total magnetic moment	0.0	μB/f.u.
crystal system	tetragonal
formation energy from the elements	1.844	eV per atom

7.
The following is a DFT calculation (PBE) of a relaxed TaNb2CoW crystal.

```
TaNb2CoW
1.0
4.8374 0.0000 0.0000
0.0000 4.8374 0.0000
0.0000 0.0000 4.3381
Ta Nb Co W
1 2 1 1
direct
0.0000 0.0000 0.0000
0.0000 0.5000 0.5000
0.5000 0.0000 0.5000
0.5000 0.5000 0.0000
0.5000 0.5000 0.5000
```

N(E_F)	5.359	states/eV per cell
total magnetic moment	0.0	μB/f.u.
crystal system	tetragonal
formation energy from the elements	1.451	eV per atom

8.
The following is a DFT calculation (PBE) of a relaxed ZrTaNbCo crystal.

```
ZrTaNbCo
1.0
6.4746 0.0000 0.0000
0.0000 6.4746 0.0000
0.0000 0.0000 6.4746
Zr Ta Nb Co
4 4 4 4
direct
0.0000 0.0000 0.0000
0.0000 0.5000 0.5000
0.5000 0.0000 0.5000
0.5000 0.5000 0.0000
0.0000 0.0000 0.5000
0.0000 0.5000 0.0000
0.5000 0.0000 0.0000
0.5000 0.5000 0.5000
0.2500 0.2500 0.2500
0.2500 0.7500 0.7500
0.7500 0.2500 0.7500
0.7500 0.7500 0.2500
0.2500 0.2500 0.7500
0.2500 0.7500 0.2500
0.7500 0.2500 0.2500
0.7500 0.7500 0.7500
```

N(E_F)	11.456	states/eV per cell
total magnetic moment	0.0	μB/f.u.
crystal system	cubic
formation energy from the elements	-0.014	eV per atom

Raw total energy (computed, eV per atom): -9.72, -7.89, -8.15, -9.31, -9.57, -8.92, -8.96, -9.41